DFT (PBE) results for a relaxed structure of Zn2FeOs.

Cell: 4.9361 4.9361 4.9361 Å, 144.26 128.75 64.05°
Last column: nearest neighbours and their distance in Å.
Atoms (fractional coordinates):
Fe 0.5027 0.5027 0.0000  2 Os 2.50, 6 Zn 2.58-2.62
Os 0.7407 0.2407 0.5000  2 Fe 2.50, 6 Zn 2.62-2.67
Zn 0.0031 0.0031 0.0000  2 Zn 2.59, 4 Fe 2.62, 2 Os 2.67
Zn 0.2535 0.7535 0.5000  2 Fe 2.58, 2 Zn 2.59, 4 Os 2.62

ΔE to the lowest computed polymorph = 0.136 eV per atom
Density = 11.56 g/cm³
D(E_F) = 2.768 states/eV/cell
ΔH_f (0 K) = 76 kJ/mol of formula units
E = -21.45 eV per formula unit
Total magnetic moment = 0.6911 μB/atom
Space-group type = No. 44

***

DFT (PBE) results for a relaxed structure of PmTmTlRh.

Cell: 5.1518 5.1518 5.1518 Å, 60.00 60.00 60.00°
Last column: nearest neighbours and their distance in Å.
Atoms (fractional coordinates):
Tl 0.7500 0.7500 0.7500  4 Pm 3.15, 4 Tm 3.15
Tm 0.0000 0.0000 0.0000  4 Tl 3.15, 4 Rh 3.15
Rh 0.2500 0.2500 0.2500  4 Tm 3.15, 4 Pm 3.15
Pm 0.5000 0.5000 0.5000  4 Tl 3.15, 4 Rh 3.15

ΔE to the lowest computed polymorph = 0.134 eV per atom
Density = 10.67 g/cm³
D(E_F) = 2.480 states/eV/cell
ΔH_f (0 K) = -177 kJ/mol of formula units
E = -20.77 eV per formula unit
Total magnetic moment = 0.0000 μB/atom
Space-group type = No. 216